(1)
# ZnPdBr2

An optimized crystal structure of ZnPdBr2 (GGA-PBE, the Alexandria database).

ΔE to the lowest computed polymorph	279	meV/atom

Cell lengths 6.8934, 6.8934, 6.8934 Å; angles 90.00, 90.00, 90.00 degrees
Space group Fm-3m (No. 225)
Symmetry-distinct sites (fractional):
1 Zn 0.0000 0.0000 0.0000 [4 per cell]
2 Pd 0.0000 0.0000 0.5000 [4 per cell]
3 Br 0.2500 0.2500 0.2500 [8 per cell]


(2)
# Hg2Bi2Br

An optimized crystal structure of Hg2Bi2Br (GGA-PBE, the Alexandria database).

ΔE to the lowest computed polymorph	48	meV/atom

Cell lengths 4.2482, 4.2482, 16.6090 Å; angles 90.00, 90.00, 90.00 degrees
Space group I4/mmm (No. 139)
Symmetry-distinct sites (fractional):
1 Hg 0.0000 0.5000 0.2500 [4 per cell]
2 Bi 0.0000 0.0000 0.1126 [4 per cell]
3 Br 0.0000 0.0000 0.5000 [2 per cell]


(3)
# LaMn2Tc

An optimized crystal structure of LaMn2Tc (GGA-PBE, the Alexandria database).

ΔE to the lowest computed polymorph	117	meV/atom
ΔE_f	0.3083	eV per atom

Cell lengths 3.0471, 3.0471, 7.6361 Å; angles 90.00, 90.00, 90.00 degrees
Space group P4mm (No. 99)
Symmetry-distinct sites (fractional):
1 La 0.0000 0.0000 0.0000 [1 per cell]
2 Mn 0.0000 0.0000 0.5242 [1 per cell]
3 Mn 0.5000 0.5000 0.3270 [1 per cell]
4 Tc 0.5000 0.5000 0.6865 [1 per cell]


Repeat the first record exactly.
# ZnPdBr2

An optimized crystal structure of ZnPdBr2 (GGA-PBE, the Alexandria database).

ΔE to the lowest computed polymorph	279	meV/atom

Cell lengths 6.8934, 6.8934, 6.8934 Å; angles 90.00, 90.00, 90.00 degrees
Space group Fm-3m (No. 225)
Symmetry-distinct sites (fractional):
1 Zn 0.0000 0.0000 0.0000 [4 per cell]
2 Pd 0.0000 0.0000 0.5000 [4 per cell]
3 Br 0.2500 0.2500 0.2500 [8 per cell]